The following is a DFT calculation (GGA+U) of a geometry-optimized K2ZrMo3O12 structure.

Calculated values
Space group: R-3m (166)
Total energy, eV for the cell shown: -126.55
Crystal system: trigonal
Calculated volume, Å³/f.u.: 294.6

Unit cell a=7.5081 b=7.5081 c=7.5081 alpha=59.31 beta=59.31 gamma=59.31
Closest atoms and distances in Å follow each position.
Fractional coordinates of all 18 atoms:
K (0.1606, 0.1606, 0.1606)  3 O 2.90
K (0.8394, 0.8394, 0.8394)  3 O 2.90
Zr (0.5000, 0.5000, 0.5000)  6 O 2.11
Mo (0.0000, 0.5000, 0.5000)  6 O 1.91-1.95
Mo (0.5000, 0.0000, 0.5000)  6 O 1.91-1.95
Mo (0.5000, 0.5000, 0.0000)  6 O 1.91-1.95
O (0.1671, 0.5672, 0.5672)  1 Mo 1.91, 1 Zr 2.11
O (0.1945, 0.1945, 0.5586)  2 Mo 1.95
O (0.1945, 0.5586, 0.1945)  2 Mo 1.95
O (0.4328, 0.4328, 0.8329)  1 Mo 1.91, 1 Zr 2.11
O (0.4328, 0.8329, 0.4328)  1 Mo 1.91, 1 Zr 2.11
O (0.4415, 0.8055, 0.8055)  2 Mo 1.95
O (0.5586, 0.1945, 0.1945)  2 Mo 1.95
O (0.5672, 0.1671, 0.5672)  1 Mo 1.91, 1 Zr 2.11
O (0.5672, 0.5672, 0.1671)  1 Mo 1.91, 1 Zr 2.11
O (0.8055, 0.4415, 0.8055)  2 Mo 1.95
O (0.8055, 0.8055, 0.4414)  2 Mo 1.95
O (0.8329, 0.4328, 0.4328)  1 Mo 1.91, 1 Zr 2.11